A relaxed structure of Th2Co3Ni12Ge. Source: Alexandria, functional PBE.

Cell: 9.0340 9.0340 9.0340 Å, 38.98 38.98 38.98°
Closest atoms and distances in Å follow each position.
Positions (direct):
Ni 0.8087 0.4172 0.4172  2 Co 2.29, 4 Ni 2.36-2.39
Ni 0.9259 0.3585 0.9259  1 Ge 2.31, 2 Ni 2.39, 1 Co 2.43
Ni 0.4172 0.8087 0.4172  2 Co 2.29, 4 Ni 2.36-2.39
Ni 0.1913 0.5828 0.5828  2 Co 2.29, 4 Ni 2.36-2.39
Ni 0.9259 0.9259 0.3585  1 Ge 2.31, 2 Ni 2.39, 1 Co 2.43
Ni 0.5828 0.5828 0.1913  2 Co 2.29, 4 Ni 2.36-2.39
Ni 0.5828 0.1913 0.5828  2 Co 2.29, 4 Ni 2.36-2.39
Ni 0.3585 0.9259 0.9259  1 Ge 2.31, 2 Ni 2.39, 1 Co 2.43
Ni 0.6415 0.0741 0.0741  1 Ge 2.31, 2 Ni 2.39, 1 Co 2.43
Ni 0.0741 0.6415 0.0741  1 Ge 2.31, 2 Ni 2.39, 1 Co 2.43
Ni 0.0741 0.0741 0.6415  1 Ge 2.31, 2 Ni 2.39, 1 Co 2.43
Ni 0.4172 0.4172 0.8087  2 Co 2.29, 4 Ni 2.36-2.39
Th 0.6511 0.6511 0.6511  6 Ni 2.91-2.92
Th 0.3489 0.3489 0.3489  6 Ni 2.91-2.92
Co 0.0000 0.5000 0.0000  6 Ni 2.29-2.43
Co 0.0000 0.0000 0.5000  6 Ni 2.29-2.43
Co 0.5000 0.0000 0.0000  6 Ni 2.29-2.43
Ge 0.0000 0.0000 0.0000  6 Ni 2.31

Values from the calculation:
ΔE_f (eV per atom): 0.163
Size of the total moment (μB per formula unit): 9.11
E_tot (eV for the cell shown): -107.2